{"formula": "LaTl2SnSe4", "functional": "PBE", "state": "optimized geometry", "lattice_angstrom": [[-4.4000, 4.4261, 6.2758], [4.4000, -4.4261, 6.2758], [4.4000, 4.4261, -6.2758]], "species": ["La", "La", "Tl", "Tl", "Tl", "Tl", "Sn", "Sn", "Se", "Se", "Se", "Se", "Se", "Se", "Se", "Se"], "fractional_positions": [[0.0000, 0.0000, 0.0000], [0.5000, 0.0000, 0.5000], [0.0000, 0.5000, 0.5000], [0.5000, 0.0000, 0.0000], [0.5000, 0.5000, 0.0000], [0.5000, 0.5000, 0.5000], [0.0000, 0.0000, 0.5000], [0.0000, 0.5000, 0.0000], [0.2151, 0.2413, 0.9738], [0.2324, 0.7587, 0.4738], [0.2349, 0.2151, 0.4803], [0.2349, 0.7546, 0.0197], [0.7651, 0.2454, 0.9803], [0.7651, 0.7849, 0.5197], [0.7676, 0.2413, 0.5262], [0.7849, 0.7587, 0.0262]], "raw_formation_energy_ev_per_atom": -0.889, "space_group": "Imma", "energy_ev_per_atom": -4.34, "m_tot_mub_per_fu": 0.00}